# 1
{
  "formula": "HoTm2AlS6",
  "functional": "PBE",
  "state": "relaxed",
  "lattice_angstrom": [[3.3280, 1.9214, 5.9302], [-3.3280, 1.9214, 5.9302], [0.0000, -3.8428, 5.9302]],
  "species": ["Ho", "Tm", "Tm", "Al", "S", "S", "S", "S", "S", "S"],
  "frac_coords": [[0.0000, 0.0000, 0.0000], [0.2956, 0.2956, 0.2956], [0.7988, 0.7988, 0.7988], [0.4952, 0.4952, 0.4952], [0.1221, 0.6985, 0.3953], [0.2315, 0.5993, 0.8640], [0.3953, 0.1221, 0.6985], [0.5993, 0.8640, 0.2315], [0.6985, 0.3953, 0.1221], [0.8640, 0.2315, 0.5993]],
  "raw_formation_energy_mev_per_atom": -1753.0,
  "dos_ef_per_ev_cell": 0.00,
  "volume_a3_per_cell": 227.5
}

---

# 2
{
  "formula": "YHo2AlS6",
  "functional": "PBE",
  "state": "relaxed",
  "lattice_angstrom": [[3.3535, 1.9362, 5.9416], [-3.3535, 1.9362, 5.9416], [0.0000, -3.8723, 5.9416]],
  "species": ["Y", "Ho", "Ho", "Al", "S", "S", "S", "S", "S", "S"],
  "frac_coords": [[0.0000, 0.0000, 0.0000], [0.2938, 0.2938, 0.2938], [0.7970, 0.7970, 0.7970], [0.4951, 0.4951, 0.4951], [0.1259, 0.6982, 0.3927], [0.2327, 0.6016, 0.8600], [0.3927, 0.1259, 0.6982], [0.6016, 0.8600, 0.2327], [0.6982, 0.3927, 0.1259], [0.8600, 0.2327, 0.6016]],
  "raw_formation_energy_mev_per_atom": -1750.6,
  "dos_ef_per_ev_cell": 0.00,
  "volume_a3_per_cell": 231.5
}

---

# 3
{
  "formula": "HoAl4Sb",
  "functional": "PBE",
  "state": "relaxed",
  "lattice_angstrom": [[0.0000, 3.9178, 3.9178], [3.9178, 0.0000, 3.9178], [3.9178, 3.9178, 0.0000]],
  "species": ["Ho", "Al", "Al", "Al", "Al", "Sb"],
  "frac_coords": [[0.0000, 0.0000, 0.0000], [0.3751, 0.3751, 0.3751], [0.3751, 0.3751, 0.8747], [0.3751, 0.8747, 0.3751], [0.8747, 0.3751, 0.3751], [0.7500, 0.7500, 0.7500]],
  "raw_formation_energy_mev_per_atom": -181.7,
  "dos_ef_per_ev_cell": 5.10,
  "volume_a3_per_cell": 120.3
}

---

# 4
{
  "formula": "Ho2AlSb",
  "functional": "PBE",
  "state": "relaxed",
  "lattice_angstrom": [[2.0563, 1.1872, 7.7259], [-2.0563, 1.1872, 7.7259], [0.0000, -2.3744, 7.7259]],
  "species": ["Ho", "Ho", "Al", "Sb"],
  "frac_coords": [[0.2468, 0.2468, 0.2468], [0.7532, 0.7532, 0.7532], [0.0000, 0.0000, 0.0000], [0.5000, 0.5000, 0.5000]],
  "raw_formation_energy_mev_per_atom": -511.0,
  "dos_ef_per_ev_cell": 2.30,
  "volume_a3_per_cell": 113.2
}